1.
A relaxed structure of AlAs4Br. Source: Alexandria via LeMat-Bulk, functional PBE.

a = 6.184 Å, b = 6.184 Å, c = 6.184 Å
α = 60.00°, β = 60.00°, γ = 60.00°
Positions (direct):
Al 0.000 0.000 0.000
As 0.800 0.400 0.400
As 0.400 0.400 0.800
As 0.400 0.800 0.400
As 0.400 0.400 0.400
Br 0.750 0.750 0.750

Output
- Volume: 167 Å³ per cell
- Formation energy without anion corrections: 1.24 eV per formula unit
- Crystal system: cubic

2.
A relaxed structure of Al2AsBr. Source: Alexandria via LeMat-Bulk, functional PBE.

a = 7.040 Å, b = 7.040 Å, c = 7.040 Å
α = 148.65°, β = 148.65°, γ = 44.93°
Positions (direct):
As 0.500 0.500 0.000
Al 0.000 0.000 0.000
Al 0.250 0.750 0.500
Br 0.750 0.250 0.500

Output
- Volume: 94 Å³ per cell
- Formation energy without anion corrections: 0.75 eV per formula unit
- Energy above the lowest structure with this stoichiometry: 1.56 eV per formula unit
- Crystal system: tetragonal
- DOS(E_F): 2.56 states/eV/f.u.

3.
A relaxed structure of AlAsBr2. Source: Alexandria via LeMat-Bulk, functional PBE.

a = 4.073 Å, b = 5.400 Å, c = 6.807 Å
α = 53.64°, β = 90.00°, γ = 90.00°
Positions (direct):
As 0.500 0.712 0.650
Al 0.000 0.517 0.580
Br 0.000 0.009 0.934
Br 0.500 0.263 0.336

Output
- Volume: 121 Å³ per cell
- Formation energy without anion corrections: -1.36 eV per formula unit
- Energy above the lowest structure with this stoichiometry: 0.25 eV per formula unit
- Crystal system: monoclinic
- DOS(E_F): 0.01 states/eV/f.u.

4.
A relaxed structure of Al2AsBr. Source: Alexandria via LeMat-Bulk, functional PBE.

a = 7.179 Å, b = 7.179 Å, c = 7.179 Å
α = 31.68°, β = 31.68°, γ = 31.68°
Positions (direct):
As 0.250 0.250 0.250
Al 0.984 0.984 0.984
Al 0.516 0.516 0.516
Br 0.750 0.750 0.750

Output
- Volume: 91 Å³ per cell
- Formation energy without anion corrections: -0.58 eV per formula unit
- Energy above the lowest structure with this stoichiometry: 0.23 eV per formula unit
- Crystal system: trigonal
- DOS(E_F): 2.48 states/eV/f.u.

5.
A relaxed structure of AlAs3Br. Source: Alexandria via LeMat-Bulk, functional PBE.

a = 4.913 Å, b = 4.913 Å, c = 4.913 Å
α = 90.00°, β = 90.00°, γ = 90.00°
Positions (direct):
As 0.000 0.500 0.000
As 0.000 0.000 0.500
As 0.500 0.000 0.000
Al 0.000 0.000 0.000
Br 0.500 0.500 0.500

Output
- Volume: 119 Å³ per cell
- Formation energy without anion corrections: 2.86 eV per formula unit
- Energy above the lowest structure with this stoichiometry: 0.00 eV per formula unit
- Crystal system: cubic
- DOS(E_F): 6.54 states/eV/f.u.

6.
A relaxed structure of Al2AsBr. Source: Alexandria via LeMat-Bulk, functional PBE.

a = 4.907 Å, b = 4.907 Å, c = 4.907 Å
α = 60.00°, β = 60.00°, γ = 60.00°
Positions (direct):
As 0.500 0.500 0.500
Al 0.000 0.000 0.000
Al 0.250 0.250 0.250
Br 0.750 0.750 0.750

Output
- Volume: 84 Å³ per cell
- Formation energy without anion corrections: 1.52 eV per formula unit
- Energy above the lowest structure with this stoichiometry: 2.32 eV per formula unit
- Crystal system: cubic
- DOS(E_F): 1.33 states/eV/f.u.

7.
A relaxed structure of Al2AsBr. Source: Alexandria via LeMat-Bulk, functional PBE.

a = 3.445 Å, b = 3.444 Å, c = 7.114 Å
α = 90.00°, β = 90.00°, γ = 90.00°
Positions (direct):
As 0.500 0.500 0.250
Al 0.000 0.000 0.052
Al 0.000 0.000 0.448
Br 0.500 0.500 0.750

Output
- Volume: 84 Å³ per cell
- Formation energy without anion corrections: 0.29 eV per formula unit
- Energy above the lowest structure with this stoichiometry: 1.09 eV per formula unit
- Crystal system: tetragonal
- DOS(E_F): 2.15 states/eV/f.u.

8.
A relaxed structure of AlAsBr2. Source: Alexandria via LeMat-Bulk, functional PBE.

a = 9.641 Å, b = 9.641 Å, c = 9.641 Å
α = 20.91°, β = 20.91°, γ = 20.91°
Last column: magnetic moment on the atom in μB.
Positions (direct):
As 0.750 0.750 0.750  0.17
Al 0.250 0.250 0.250  -0.03
Br 0.976 0.976 0.976  -0.01
Br 0.524 0.524 0.524  -0.01

Output
- Volume: 100 Å³ per cell
- Formation energy without anion corrections: 0.41 eV per formula unit
- Energy above the lowest structure with this stoichiometry: 2.02 eV per formula unit
- Crystal system: trigonal
- DOS(E_F): 1.95 states/eV/f.u.

9.
A relaxed structure of Al2AsBr8. Source: Alexandria via LeMat-Bulk, functional PBE.

a = 7.343 Å, b = 8.102 Å, c = 8.102 Å
α = 77.37°, β = 88.48°, γ = 88.48°
Last column: magnetic moment on the atom in μB.
Positions (direct):
Al 0.685 0.217 0.217  0.00
Al 0.315 0.783 0.783  0.00
As 0.000 0.000 0.000  0.41
Br 0.183 0.065 0.704  0.02
Br 0.183 0.704 0.065  0.02
Br 0.817 0.935 0.296  0.02
Br 0.210 0.617 0.617  0.00
Br 0.817 0.296 0.935  0.02
Br 0.377 0.202 0.202  0.01
Br 0.623 0.798 0.798  0.01
Br 0.790 0.383 0.383  0.00

Output
- Volume: 470 Å³ per cell
- Formation energy without anion corrections: -9.17 eV per formula unit
- Crystal system: monoclinic

10.
A relaxed structure of AlAsBr. Source: Alexandria via LeMat-Bulk, functional PBE.

a = 8.047 Å, b = 7.709 Å, c = 3.448 Å
α = 82.92°, β = 71.92°, γ = 25.16°
Positions (direct):
As 0.383 0.383 0.617
Al 0.996 0.996 0.004
Br 0.621 0.621 0.379

Output
- Volume: 80 Å³ per cell
- Formation energy without anion corrections: -0.31 eV per formula unit
- Energy above the lowest structure with this stoichiometry: 1.03 eV per formula unit
- Crystal system: orthorhombic
- DOS(E_F): 0.37 states/eV/f.u.

11.
A relaxed structure of AlAsBr. Source: Alexandria via LeMat-Bulk, functional PBE.

a = 7.426 Å, b = 7.426 Å, c = 7.426 Å
α = 154.78°, β = 154.78°, γ = 35.96°
Positions (direct):
As 0.386 0.386 0.000
Al 0.994 0.994 0.000
Br 0.621 0.621 0.000

Output
- Volume: 74 Å³ per cell
- Formation energy without anion corrections: 0.17 eV per formula unit
- Energy above the lowest structure with this stoichiometry: 1.51 eV per formula unit
- Crystal system: tetragonal
- DOS(E_F): 1.13 states/eV/f.u.

12.
A relaxed structure of AlAsBr2. Source: Alexandria via LeMat-Bulk, functional PBE.

a = 7.682 Å, b = 7.682 Å, c = 7.682 Å
α = 153.39°, β = 138.95°, γ = 49.59°
Positions (direct):
As 0.391 0.891 0.500
Al 0.517 0.517 0.000
Br 0.942 0.942 0.000
Br 0.650 0.150 0.500

Output
- Volume: 133 Å³ per cell
- Formation energy without anion corrections: -1.08 eV per formula unit
- Energy above the lowest structure with this stoichiometry: 0.53 eV per formula unit
- Crystal system: orthorhombic
- DOS(E_F): 0.88 states/eV/f.u.

13.
A relaxed structure of AlAsBr. Source: Alexandria via LeMat-Bulk, functional PBE.

a = 8.001 Å, b = 8.001 Å, c = 8.001 Å
α = 157.67°, β = 153.70°, γ = 34.77°
Positions (direct):
As 0.435 0.435 0.000
Al 0.858 0.858 0.000
Br 0.706 0.706 0.000

Output
- Volume: 86 Å³ per cell
- Formation energy without anion corrections: -0.68 eV per formula unit
- Energy above the lowest structure with this stoichiometry: 0.66 eV per formula unit
- Crystal system: orthorhombic
- DOS(E_F): 1.44 states/eV/f.u.

14.
A relaxed structure of Al2AsBr. Source: Alexandria via LeMat-Bulk, functional PBE.

a = 7.037 Å, b = 7.037 Å, c = 6.382 Å
α = 56.54°, β = 56.54°, γ = 90.00°
Positions (direct):
As 0.500 0.500 0.000
As 0.250 0.750 0.500
Al 0.587 0.125 0.250
Al 0.163 0.625 0.250
Al 0.375 0.413 0.750
Al 0.875 0.837 0.750
Br 0.000 0.000 0.000
Br 0.750 0.250 0.500

Output
- Volume: 198 Å³ per cell
- Formation energy without anion corrections: 0.08 eV per formula unit
- Energy above the lowest structure with this stoichiometry: 0.88 eV per formula unit
- Crystal system: tetragonal
- DOS(E_F): 1.05 states/eV/f.u.

15.
A relaxed structure of AlAsBr2. Source: Alexandria via LeMat-Bulk, functional PBE.

a = 5.003 Å, b = 5.333 Å, c = 4.965 Å
α = 66.35°, β = 82.12°, γ = 113.90°
Positions (direct):
As 0.500 0.500 0.000
Al 0.000 0.500 0.500
Br 0.000 0.000 0.000
Br 0.500 0.000 0.500

Output
- Volume: 104 Å³ per cell
- Formation energy without anion corrections: 0.49 eV per formula unit
- Energy above the lowest structure with this stoichiometry: 2.11 eV per formula unit
- Crystal system: monoclinic
- DOS(E_F): 1.98 states/eV/f.u.

16.
A relaxed structure of Al3AsBr. Source: Alexandria via LeMat-Bulk, functional PBE.

a = 5.179 Å, b = 5.179 Å, c = 5.179 Å
α = 90.00°, β = 90.00°, γ = 90.00°
Positions (direct):
As 0.000 0.000 0.000
Al 0.000 0.500 0.000
Al 0.000 0.000 0.500
Al 0.500 0.000 0.000
Br 0.500 0.500 0.500

Output
- Volume: 139 Å³ per cell
- Formation energy without anion corrections: 2.15 eV per formula unit
- Energy above the lowest structure with this stoichiometry: 0.00 eV per formula unit
- Crystal system: cubic
- DOS(E_F): 2.14 states/eV/f.u.

17.
A relaxed structure of Al2AsBr. Source: Alexandria via LeMat-Bulk, functional PBE.

a = 3.542 Å, b = 3.542 Å, c = 7.306 Å
α = 90.00°, β = 90.00°, γ = 107.67°
Positions (direct):
As 0.500 0.500 0.250
Al 0.000 0.000 0.040
Al 0.000 0.000 0.460
Br 0.500 0.500 0.750

Output
- Volume: 87 Å³ per cell
- Formation energy without anion corrections: 0.33 eV per formula unit
- Energy above the lowest structure with this stoichiometry: 1.14 eV per formula unit
- Crystal system: orthorhombic
- DOS(E_F): 2.05 states/eV/f.u.

18.
A relaxed structure of Al2AsBr. Source: Alexandria via LeMat-Bulk, functional PBE.

a = 4.843 Å, b = 4.843 Å, c = 4.843 Å
α = 60.00°, β = 60.00°, γ = 60.00°
Positions (direct):
As 0.000 0.000 0.000
Al 0.250 0.250 0.250
Al 0.750 0.750 0.750
Br 0.500 0.500 0.500

Output
- Volume: 80 Å³ per cell
- Formation energy without anion corrections: 0.43 eV per formula unit
- Energy above the lowest structure with this stoichiometry: 1.23 eV per formula unit
- Crystal system: cubic
- DOS(E_F): 1.20 states/eV/f.u.

19.
A relaxed structure of Al2AsBr. Source: Alexandria via LeMat-Bulk, functional PBE.

a = 3.549 Å, b = 5.330 Å, c = 5.330 Å
α = 59.83°, β = 90.00°, γ = 90.00°
Positions (direct):
As 0.000 0.448 0.448
Al 0.000 0.017 0.017
Al 0.500 0.253 0.252
Br 0.500 0.783 0.783

Output
- Volume: 87 Å³ per cell
- Formation energy without anion corrections: -0.73 eV per formula unit
- Energy above the lowest structure with this stoichiometry: 0.08 eV per formula unit
- Crystal system: orthorhombic
- DOS(E_F): 0.52 states/eV/f.u.

20.
A relaxed structure of AlAsBr. Source: Alexandria via LeMat-Bulk, functional PBE.

a = 6.645 Å, b = 9.968 Å, c = 9.721 Å
α = 103.59°, β = 70.01°, γ = 70.53°
Positions (direct):
Al 0.162 0.564 0.216
Al 0.787 0.239 0.172
Al 0.802 0.739 0.672
Al 0.095 0.316 0.419
Al 0.171 0.816 0.919
Al 0.058 0.064 0.716
Br 0.847 0.984 0.194
Br 0.154 0.581 0.967
Br 0.362 0.711 0.244
Br 0.976 0.484 0.694
Br 0.298 0.081 0.467
Br 0.683 0.211 0.744
As 0.744 0.649 0.430
As 0.392 0.293 0.165
As 0.150 0.793 0.665
As 0.690 0.413 0.444
As 0.453 0.913 0.944
As 0.178 0.149 0.930

Output
- Volume: 524 Å³ per cell
- Formation energy without anion corrections: -1.34 eV per formula unit
- Energy above the lowest structure with this stoichiometry: 0.00 eV per formula unit
- Crystal system: monoclinic
- DOS(E_F): 1.12 states/eV/f.u.

Going through the records in order, we get density values of 4.0, 3.7, 3.6, 3.8, 4.6, 4.1, 4.1, 4.3, 2.7, 3.8, 4.1, 3.3, 3.5, 3.5, 4.2, 2.8, 4.0, 4.3, 4.0, 3.5 g cm⁻³.
Going through the records in order, we get total DFT energy (no corrections) values of -22.775, -13.058, -13.102, -14.388, -16.507, -12.291, -13.520, -11.328, -34.684, -10.377, -9.890, -12.818, -10.746, -27.463, -11.244, -15.403, -13.475, -13.381, -14.538, -68.421 eV for the cell shown.
Going through the records in order, we get spin magnetization values of 0.00, 0.00, 0.00, 0.00, 0.00, 0.00, 0.00, 0.07, 0.09, 0.00, 0.00, 0.00, 0.00, 0.00, 0.00, 0.00, 0.00, 0.00, 0.00, 0.00 μB per atom.